This record from Alexandria via LeMat-Bulk describes a relaxed CrPtCl2 crystal. The functional is PBE.

```
CrPtCl2
1.0
4.631 0.000 0.000
2.316 4.011 0.000
2.316 1.337 3.781
Cr Pt Cl
1 1 2
direct
0.500 0.500 0.500 Cr
0.750 0.750 0.750 Pt
0.000 0.000 0.000 Cl
0.250 0.250 0.250 Cl
```

Properties
raw formation energy: 0.448 eV/atom
Fermi-level density of states: 5.2 states/eV per cell
energy above the most stable polymorph in this dataset: 0.753 eV/atom


This record from Alexandria via LeMat-Bulk describes a relaxed CrPtCl2 crystal. The functional is PBE.

```
CrPtCl2
1.0
-0.938 -1.557 -2.344
1.461 -2.381 0.997
-8.038 -2.806 5.082
Cr Pt Cl
1 1 2
direct
0.500 0.500 0.250 Cr
0.500 0.500 0.750 Pt
0.000 0.000 0.096 Cl
0.000 0.000 0.404 Cl
```

Properties
raw formation energy: 0.331 eV/atom
Fermi-level density of states: 5.8 states/eV per cell
energy above the most stable polymorph in this dataset: 0.636 eV/atom


This record from Alexandria via LeMat-Bulk describes a relaxed CrPtCl2 crystal. The functional is PBE.

```
CrPtCl2
1.0
8.407 0.012 0.007
7.677 3.428 0.007
7.677 1.642 3.010
Cr Pt Cl
1 1 2
direct
0.489 0.489 0.489 Cr
0.766 0.766 0.766 Pt
0.029 0.029 0.029 Cl
0.216 0.216 0.216 Cl
```

Properties
raw formation energy: -0.305 eV/atom
Fermi-level density of states: 6.4 states/eV per cell
energy above the most stable polymorph in this dataset: 0.000 eV/atom


This record from Alexandria via LeMat-Bulk describes a relaxed CrPtCl2 crystal. The functional is PBE.

```
CrPtCl2
1.0
-1.433 -1.526 3.980
4.121 0.577 1.705
-0.523 6.708 4.925
Cr Pt Cl
2 2 4
direct
0.500 0.500 0.000 Cr
0.250 0.750 0.500 Cr
0.000 0.000 0.000 Pt
0.750 0.250 0.500 Pt
0.621 0.125 0.250 Cl
0.129 0.625 0.250 Cl
0.375 0.379 0.750 Cl
0.875 0.871 0.750 Cl
```

Properties
raw formation energy: 0.143 eV/atom
Fermi-level density of states: 5.2 states/eV per cell
energy above the most stable polymorph in this dataset: 0.447 eV/atom


Please write out number 2 again, unchanged.
This record from Alexandria via LeMat-Bulk describes a relaxed CrPtCl2 crystal. The functional is PBE.

```
CrPtCl2
1.0
-0.938 -1.557 -2.344
1.461 -2.381 0.997
-8.038 -2.806 5.082
Cr Pt Cl
1 1 2
direct
0.500 0.500 0.250 Cr
0.500 0.500 0.750 Pt
0.000 0.000 0.096 Cl
0.000 0.000 0.404 Cl
```

Properties
raw formation energy: 0.331 eV/atom
Fermi-level density of states: 5.8 states/eV per cell
energy above the most stable polymorph in this dataset: 0.636 eV/atom


Q: Which value of energy above the most stable polymorph in this dataset does entry 4 give?
A: 0.447 eV/atom